VASP calculation (GGA-PBE) on a relaxed structure of Na3Pm2TeSe6.

Summary:
Formation energy (no corrections) (eV per atom): -1.19
Space group: No. 12
Volume (Å³/atom): 27.55

Cell: 7.409 7.409 7.402 Å, 99.18 99.18 120.72°
Sites, in units of the cell vectors:
Na 0.000 0.000 0.000
Na 0.339 0.661 0.000
Na 0.661 0.339 0.000
Pm 0.170 0.830 0.500
Pm 0.830 0.170 0.500
Te 0.500 0.500 0.500
Se 0.080 0.417 0.258
Se 0.252 0.252 0.723
Se 0.417 0.080 0.258
Se 0.583 0.920 0.742
Se 0.748 0.748 0.277
Se 0.920 0.583 0.742